Record 1
Na2CuAg3Cl6 | PBE | relaxed

Cell: 9.5161 9.5161 7.8229 Å, 105.03 105.03 24.07°
Fractional positions:
1 Na 0.1623 0.1623 0.3259
2 Na 0.8377 0.8377 0.6741
3 Cu 0.5000 0.5000 0.0000
4 Ag 0.1388 0.1388 0.7964
5 Ag 0.5000 0.5000 0.5000
6 Ag 0.8612 0.8612 0.2036
7 Cl 0.0113 0.0113 0.2792
8 Cl 0.3155 0.3155 0.3850
9 Cl 0.3753 0.3753 0.9516
10 Cl 0.6247 0.6247 0.0484
11 Cl 0.6845 0.6845 0.6150
12 Cl 0.9887 0.9887 0.7208

The energy relative to the elements, uncorrected is -0.84 eV per atom. The calculation puts the total energy at -3.0400 eV per atom. For the volume, the calculation gives 23.21 Å³/atom.

Record 2
Na2CuAgCl5 | PBE | relaxed

Cell: 9.5127 9.5127 12.2267 Å, 90.00 90.00 156.66°
Fractional positions:
1 Na 0.0814 0.9186 0.5000
2 Na 0.1196 0.8804 0.1913
3 Na 0.8804 0.1196 0.6913
4 Na 0.9186 0.0814 0.0000
5 Cu 0.4271 0.5729 0.2798
6 Cu 0.5729 0.4271 0.7798
7 Ag 0.2180 0.7820 0.9155
8 Ag 0.7820 0.2180 0.4155
9 Cl 0.0424 0.9576 0.8702
10 Cl 0.2942 0.7058 0.5583
11 Cl 0.3065 0.6935 0.2690
12 Cl 0.3625 0.6375 0.8640
13 Cl 0.4968 0.5032 0.1257
14 Cl 0.5032 0.4968 0.6257
15 Cl 0.6375 0.3625 0.3640
16 Cl 0.6935 0.3065 0.7690
17 Cl 0.7058 0.2942 0.0583
18 Cl 0.9576 0.0424 0.3702

The energy relative to the elements, uncorrected is -1.02 eV per atom. The calculation puts the total energy at -3.1085 eV per atom. For the volume, the calculation gives 24.35 Å³/atom. The density of states at the Fermi level is 11.598 states/eV per cell.

Record 3
Na2CuAg2Cl6 | PBE | relaxed

Cell: 6.8610 6.8610 6.6631 Å, 98.16 98.16 120.29°
Fractional positions:
1 Na 0.1648 0.8352 0.0000
2 Na 0.8352 0.1648 0.0000
3 Cu 0.5000 0.5000 0.0000
4 Ag 0.3165 0.6835 0.5000
5 Ag 0.6835 0.3165 0.5000
6 Cl 0.1170 0.4409 0.7525
7 Cl 0.2850 0.2850 0.2003
8 Cl 0.4409 0.1170 0.7525
9 Cl 0.5591 0.8830 0.2475
10 Cl 0.7150 0.7150 0.7997
11 Cl 0.8830 0.5591 0.2475

The energy relative to the elements, uncorrected is -0.92 eV per atom. The calculation puts the total energy at -3.0615 eV per atom. For the volume, the calculation gives 23.60 Å³/atom. The density of states at the Fermi level is 4.569 states/eV per cell.

Record 4
NaCuAg2Cl4 | PBE | relaxed

Cell: 8.4476 7.2823 6.8131 Å, 90.00 90.00 90.00°
Fractional positions:
1 Na 0.0000 0.1528 0.0000
2 Na 0.5000 0.8472 0.5000
3 Cu 0.0000 0.8334 0.5012
4 Cu 0.5000 0.1666 0.0012
5 Ag 0.2475 0.3385 0.5012
6 Ag 0.2525 0.6615 0.0012
7 Ag 0.7475 0.6615 0.0012
8 Ag 0.7525 0.3385 0.5012
9 Cl 0.0000 0.1389 0.4012
10 Cl 0.0000 0.8116 0.8445
11 Cl 0.2265 0.6797 0.3859
12 Cl 0.2735 0.3203 0.8859
13 Cl 0.5000 0.1884 0.3445
14 Cl 0.5000 0.8611 0.9012
15 Cl 0.7265 0.3203 0.8859
16 Cl 0.7735 0.6797 0.3859

The energy relative to the elements, uncorrected is -0.76 eV per atom. The calculation puts the total energy at -3.0699 eV per atom. For the volume, the calculation gives 26.20 Å³/atom.

Record 5
NaCu2Ag2Cl6 | PBE | relaxed

Cell: 6.9818 6.9818 6.8723 Å, 90.00 90.00 120.00°
Fractional positions:
1 Na 0.0000 0.0000 0.0000
2 Cu 0.3333 0.6667 0.7741
3 Cu 0.6667 0.3333 0.2259
4 Ag 0.3333 0.6667 0.2048
5 Ag 0.6667 0.3333 0.7952
6 Cl 0.0279 0.3403 0.7580
7 Cl 0.3124 0.9721 0.7580
8 Cl 0.3403 0.3124 0.2420
9 Cl 0.6597 0.6876 0.7580
10 Cl 0.6876 0.0279 0.2420
11 Cl 0.9721 0.6597 0.2420

The energy relative to the elements, uncorrected is -0.69 eV per atom. The calculation puts the total energy at -3.0770 eV per atom. For the volume, the calculation gives 26.37 Å³/atom. The density of states at the Fermi level is 10.041 states/eV per cell.

Record 6
Na3CuAg4Cl8 | PBE | relaxed

Cell: 7.9252 7.9252 7.8921 Å, 119.09 119.09 60.12°
Fractional positions:
1 Na 0.0000 0.0000 0.0000
2 Na 0.0000 0.5000 0.5000
3 Na 0.5000 0.0000 0.5000
4 Cu 0.5000 0.5000 0.0000
5 Ag 0.0000 0.0000 0.5000
6 Ag 0.0000 0.5000 0.0000
7 Ag 0.5000 0.0000 0.0000
8 Ag 0.5000 0.5000 0.5000
9 Cl 0.2210 0.2210 0.7227
10 Cl 0.2484 0.2484 0.2451
11 Cl 0.2810 0.7174 0.2220
12 Cl 0.2826 0.7190 0.7780
13 Cl 0.7174 0.2810 0.2220
14 Cl 0.7190 0.2826 0.7780
15 Cl 0.7516 0.7516 0.7549
16 Cl 0.7790 0.7790 0.2773

The energy relative to the elements, uncorrected is -0.91 eV per atom. The calculation puts the total energy at -3.0483 eV per atom. For the volume, the calculation gives 22.22 Å³/atom.

Record 7
NpCuAg2Cl8 | PBE | relaxed

Cell: 6.2496 7.8599 6.4813 Å, 90.00 97.34 90.00°
Fractional positions:
1 Np 0.0000 0.0000 0.0000
2 Cu 0.0000 0.5000 0.0000
3 Ag 0.5000 0.2732 0.5000
4 Ag 0.5000 0.7268 0.5000
5 Cl 0.2143 0.2378 0.8468
6 Cl 0.2143 0.7622 0.8468
7 Cl 0.2473 0.5000 0.2957
8 Cl 0.2692 0.0000 0.3380
9 Cl 0.7308 0.0000 0.6620
10 Cl 0.7527 0.5000 0.7043
11 Cl 0.7857 0.2378 0.1532
12 Cl 0.7857 0.7622 0.1532

The energy relative to the elements, uncorrected is -0.93 eV per atom. The calculation puts the total energy at -4.0552 eV per atom. For the volume, the calculation gives 26.31 Å³/atom. The density of states at the Fermi level is 10.137 states/eV per cell.

Record 8
CuAgP2Cl | PBE | relaxed

Cell: 4.2725 4.2725 6.4806 Å, 90.00 90.00 90.00°
Fractional positions:
1 Cu 0.0000 0.0000 0.0000
2 Ag 0.5000 0.5000 0.5000
3 P 0.0000 0.5000 0.0000
4 P 0.5000 0.0000 0.0000
5 Cl 0.0000 0.0000 0.5000

The calculation puts the energy above the most stable polymorph in this dataset at 0 meV/atom. The energy relative to the elements, uncorrected is 0.63 eV per atom. The calculation puts the total energy at -3.2912 eV per atom. For the volume, the calculation gives 23.66 Å³/atom. The density of states at the Fermi level is 3.499 states/eV per cell.

Record 9
CuAgP2Cl | PBE | relaxed

Cell: 4.8004 4.8004 5.1873 Å, 90.00 90.00 90.00°
Fractional positions:
1 Cu 0.0000 0.0000 0.0000
2 Ag 0.5000 0.5000 0.5000
3 P 0.0000 0.5000 0.5000
4 P 0.5000 0.0000 0.5000
5 Cl 0.5000 0.5000 0.0000

The calculation puts the energy above the most stable polymorph in this dataset at 488 meV/atom. The energy relative to the elements, uncorrected is 1.12 eV per atom. The calculation puts the total energy at -2.8031 eV per atom. For the volume, the calculation gives 23.91 Å³/atom. The density of states at the Fermi level is 2.312 states/eV per cell.

Record 10
PaCuAgCl6 | PBE | relaxed

Cell: 6.5299 6.5299 12.6585 Å, 90.00 90.00 120.00°
Fractional positions:
1 Pa 0.3333 0.6667 0.2500
2 Pa 0.6667 0.3333 0.7500
3 Cu 0.3333 0.6667 0.7500
4 Cu 0.6667 0.3333 0.2500
5 Ag 0.0000 0.0000 0.0000
6 Ag 0.0000 0.0000 0.5000
7 Cl 0.0114 0.3510 0.6305
8 Cl 0.0114 0.6604 0.8695
9 Cl 0.3396 0.3510 0.8695
10 Cl 0.3396 0.9886 0.6305
11 Cl 0.3510 0.0114 0.1305
12 Cl 0.3510 0.3396 0.3695
13 Cl 0.6490 0.6604 0.6305
14 Cl 0.6490 0.9886 0.8695
15 Cl 0.6604 0.0114 0.3695
16 Cl 0.6604 0.6490 0.1305
17 Cl 0.9886 0.3396 0.1305
18 Cl 0.9886 0.6490 0.3695

The energy relative to the elements, uncorrected is -1.20 eV per atom. The calculation puts the total energy at -4.2576 eV per atom. For the volume, the calculation gives 25.97 Å³/atom. The density of states at the Fermi level is 3.514 states/eV per cell.

Record 11
PaCuAg2Cl8 | PBE | relaxed

Cell: 6.2355 6.4167 8.3134 Å, 90.06 90.08 97.99°
Fractional positions:
1 Pa 0.0000 0.0000 0.0000
2 Cu 0.0000 0.0000 0.5000
3 Ag 0.4997 0.4999 0.2808
4 Ag 0.5003 0.5001 0.7192
5 Cl 0.2145 0.8395 0.7811
6 Cl 0.2144 0.8395 0.2191
7 Cl 0.2510 0.2843 0.5002
8 Cl 0.2775 0.3381 0.0005
9 Cl 0.7225 0.6619 0.9995
10 Cl 0.7490 0.7157 0.4998
11 Cl 0.7856 0.1605 0.7809
12 Cl 0.7855 0.1605 0.2189

The energy relative to the elements, uncorrected is -1.10 eV per atom. The calculation puts the total energy at -3.9399 eV per atom. For the volume, the calculation gives 27.45 Å³/atom. The density of states at the Fermi level is 2.273 states/eV per cell.

Record 12
CuAg2PbCl8 | PBE | relaxed

Cell: 7.5625 7.5625 7.5625 Å, 115.28 115.28 98.40°
Fractional positions:
1 Cu 0.0000 0.0000 0.0000
2 Ag 0.2500 0.7500 0.5000
3 Ag 0.5000 0.5000 0.0000
4 Pb 0.7500 0.2500 0.5000
5 Cl 0.0469 0.3288 0.2818
6 Cl 0.0469 0.7651 0.7182
7 Cl 0.1166 0.3058 0.8107
8 Cl 0.2349 0.9531 0.2818
9 Cl 0.4951 0.3058 0.1893
10 Cl 0.6712 0.9531 0.7182
11 Cl 0.6942 0.5049 0.8107
12 Cl 0.6942 0.8834 0.1893

The energy relative to the elements, uncorrected is -0.44 eV per atom. The calculation puts the total energy at -2.7951 eV per atom. For the volume, the calculation gives 26.99 Å³/atom. The density of states at the Fermi level is 2.984 states/eV per cell.

Question: volume of number 1 (Na2CuAg3Cl6)?
Answer: 23.21 Å³/atom